Entry from the Alexandria database: an optimized crystal structure of Ce3Ni2H8 (PBE).

abc: 4.9140 4.9140 20.0339
angles: 90.00 90.00 120.00
Space group R-3m (No. 166, hexagonal axes)
Asymmetric unit:
Ce (0.0000, 0.0000, 0.0000) x3
Ce (0.0000, 0.0000, 0.2120) x6
Ni (0.0000, 0.0000, 0.4151) x6
H (0.0000, 0.0000, 0.3359) x6
H (0.0334, 0.5167, 0.7721) x18

Computed properties:
The total energy is -0.3452 Ry per atom. The calculation puts the calculated density at 6.49 g cm⁻³. For the magnetic moment, the calculation gives 0.31 μB per atom. The value obtained for the density of states at the Fermi level is 49.6 states/eV/cell.

---

Entry from the Alexandria database: an optimized crystal structure of ZnSb2H (PBE).

abc: 4.1959 4.1959 19.9373
angles: 90.00 90.00 120.00
Space group R-3m (No. 166, hexagonal axes)
Asymmetric unit:
Zn (0.0000, 0.0000, 0.0000) x3
Sb (0.0000, 0.0000, 0.4000) x6
H (0.0000, 0.0000, 0.5000) x3

Computed properties:
The total energy is -0.2128 Ry per atom. The calculation puts the calculated density at 5.08 g cm⁻³. For the magnetic moment, the calculation gives 0.00 μB per atom. The value obtained for the density of states at the Fermi level is 5.4 states/eV/cell.

---

Entry from the Alexandria database: an optimized crystal structure of Ca3Mg2Zn (PBE).

abc: 7.2251 7.2251 8.6349
angles: 90.00 90.00 120.00
Space group P6_3/mmc (No. 194)
Asymmetric unit:
Ca (0.1684, 0.3368, 0.2500) x6
Mg (0.3333, 0.6667, 0.5753) x4
Zn (0.0000, 0.0000, 0.0000) x2

Computed properties:
The total energy is -0.1251 Ry per atom. The calculation puts the calculated density at 1.99 g cm⁻³. For the magnetic moment, the calculation gives 0.00 μB per atom. The formation energy is 0.042 eV per atom. The value obtained for the density of states at the Fermi level is 12.0 states/eV/cell.

---

Entry from the Alexandria database: an optimized crystal structure of Cr2SiAu (PBE).

abc: 2.759 3.872 5.171
angles: 90.00 95.01 90.00
Space group P2/m (No. 10)
Asymmetric unit:
Cr (0.057, 0.000, 0.300) x2
Si (0.500, 0.500, 0.500) x1
Au (0.500, 0.500, 0.000) x1

Computed properties:
The total energy is -0.5060 Ry per atom. The calculation puts the calculated density at 9.93 g cm⁻³. For the magnetic moment, the calculation gives 0.31 μB per atom. Its uncorrected formation energy is 0.102 eV per atom. The value obtained for the density of states at the Fermi level is 3.7 states/eV/cell.

---

Entry from the Alexandria database: an optimized crystal structure of Pr2DyErTm4 (PBE).

abc: 6.783 11.774 13.224
angles: 90.00 90.00 90.00
Space group Imma (No. 74)
Asymmetric unit:
Pr (0.000, 0.000, 0.000) x4
Pr (0.250, 0.250, 0.250) x4
Dy (0.250, 0.250, 0.750) x4
Er (0.000, 0.000, 0.500) x4
Tm (0.000, 0.003, 0.748) x8
Tm (0.249, 0.250, 0.503) x8

Computed properties:
The total energy is -0.3048 Ry per atom. The calculation puts the calculated density at 8.10 g cm⁻³. For the magnetic moment, the calculation gives 0.23 μB per atom. The formation energy is 0.429 eV per atom. The value obtained for the density of states at the Fermi level is 73.1 states/eV/cell.

---

Entry from the Alexandria database: an optimized crystal structure of ZnIrW2 (PBE).

abc: 2.763 4.422 4.977
angles: 90.00 94.75 90.00
Space group Pm (No. 6)
Asymmetric unit:
Zn (0.000, 0.000, 0.000) x1
Ir (0.007, 0.500, 0.291) x1
W (0.441, 0.500, 0.804) x1
W (0.576, 0.000, 0.500) x1

Computed properties:
The total energy is -0.6607 Ry per atom. The calculation puts the calculated density at 17.14 g cm⁻³. For the magnetic moment, the calculation gives 0.00 μB per atom. The formation energy is 0.021 eV per atom. The value obtained for the density of states at the Fermi level is 2.5 states/eV/cell.

---

Entry from the Alexandria database: an optimized crystal structure of KTl8Cd4 (PBE).

abc: 11.407 11.407 5.981
angles: 90.00 90.00 90.00
Space group I4/mmm (No. 139)
Asymmetric unit:
K (0.000, 0.000, 0.000) x2
Tl (0.000, 0.211, 0.500) x8
Tl (0.000, 0.356, 0.000) x8
Cd (0.250, 0.250, 0.250) x8

Computed properties:
The total energy is -0.1354 Ry per atom. The calculation puts the calculated density at 9.06 g cm⁻³. For the magnetic moment, the calculation gives 0.00 μB per atom. The formation energy is -0.020 eV per atom. The value obtained for the density of states at the Fermi level is 11.2 states/eV/cell.

---

Entry from the Alexandria database: an optimized crystal structure of La2SiH (PBE).

abc: 5.656 5.656 14.079
angles: 90.00 90.00 90.00
Space group I-42d (No. 122)
Asymmetric unit:
La (0.196, 0.250, 0.125) x8
Si (0.000, 0.000, 0.500) x4
H (0.000, 0.000, 0.000) x4

Computed properties:
The total energy is -0.3527 Ry per atom. The calculation puts the calculated density at 4.53 g cm⁻³. For the magnetic moment, the calculation gives 0.24 μB per atom. The value obtained for the density of states at the Fermi level is 20.9 states/eV/cell.

---

Repeat the sixth record exactly.
Entry from the Alexandria database: an optimized crystal structure of ZnIrW2 (PBE).

abc: 2.763 4.422 4.977
angles: 90.00 94.75 90.00
Space group Pm (No. 6)
Asymmetric unit:
Zn (0.000, 0.000, 0.000) x1
Ir (0.007, 0.500, 0.291) x1
W (0.441, 0.500, 0.804) x1
W (0.576, 0.000, 0.500) x1

Computed properties:
The total energy is -0.6607 Ry per atom. The calculation puts the calculated density at 17.14 g cm⁻³. For the magnetic moment, the calculation gives 0.00 μB per atom. The formation energy is 0.021 eV per atom. The value obtained for the density of states at the Fermi level is 2.5 states/eV/cell.

---

What is the magnetic moment in the fifth record?
0.23 μB per atom

---

Among the records above, which one has the highest calculated density?
ZnIrW2